1.
The following is a PBE calculation of crystalline Y7PdSe5 at its relaxed geometry, from Alexandria.

Cell lengths 6.9868, 6.9868, 24.4607 Å; angles 90.00, 90.00, 146.78 degrees
Closest atoms and distances in Å follow each position.
Fractional coordinates of all 26 atoms:
Y (0.0403, 0.9597, 0.7500)  2 Pd 2.89, 2 Se 2.89
Y (0.1388, 0.8612, 0.0382)  6 Se 2.82-2.89
Y (0.1388, 0.8612, 0.4618)  6 Se 2.82-2.89
Y (0.3000, 0.7000, 0.6800)  3 Se 2.87-2.92, 2 Pd 2.98
Y (0.3000, 0.7000, 0.8200)  3 Se 2.87-2.92, 2 Pd 2.98
Y (0.4115, 0.5885, 0.1147)  5 Se 2.86-3.05
Y (0.4115, 0.5885, 0.3853)  5 Se 2.86-3.05
Y (0.5885, 0.4115, 0.6147)  5 Se 2.86-3.05
Y (0.5885, 0.4115, 0.8853)  5 Se 2.86-3.05
Y (0.7000, 0.3000, 0.1800)  3 Se 2.87-2.92, 2 Pd 2.98
Y (0.7000, 0.3000, 0.3200)  3 Se 2.87-2.92, 2 Pd 2.98
Y (0.8612, 0.1388, 0.5382)  6 Se 2.82-2.89
Y (0.8612, 0.1388, 0.9618)  6 Se 2.82-2.89
Y (0.9597, 0.0403, 0.2500)  2 Pd 2.89, 2 Se 2.89
Pd (0.3041, 0.6959, 0.2500)  6 Y 2.89-2.98
Pd (0.6959, 0.3041, 0.7500)  6 Y 2.89-2.98
Se (0.0548, 0.9452, 0.1440)  6 Y 2.82-2.92
Se (0.0548, 0.9452, 0.3560)  6 Y 2.82-2.92
Se (0.2211, 0.7789, 0.5708)  6 Y 2.85-2.89
Se (0.2211, 0.7789, 0.9292)  6 Y 2.85-2.89
Se (0.5000, 0.5000, 0.0000)  6 Y 2.88-3.05
Se (0.5000, 0.5000, 0.5000)  6 Y 2.88-3.05
Se (0.7789, 0.2211, 0.0708)  6 Y 2.85-2.89
Se (0.7789, 0.2211, 0.4292)  6 Y 2.85-2.89
Se (0.9452, 0.0548, 0.6440)  6 Y 2.82-2.92
Se (0.9452, 0.0548, 0.8560)  6 Y 2.82-2.92

Computed properties:
calculated total energy	-6.7258	eV/atom
space group	Cmcm (63)
formation energy without anion corrections	-1505	meV/atom
DOS at the Fermi energy	14.00	states/eV/cell

---

2.
The following is a PBE calculation of crystalline Pr2ErSb3Pd4 at its relaxed geometry, from Alexandria.

Cell lengths 4.4972, 4.4972, 11.5854 Å; angles 90.00, 90.00, 90.00 degrees
Closest atoms and distances in Å follow each position.
Fractional coordinates of all 10 atoms:
Pr (0.0000, 0.5000, 0.2141)  4 Sb 3.32, 8 Pd 3.35-3.59
Pr (0.5000, 0.0000, 0.7859)  4 Sb 3.32, 8 Pd 3.35-3.59
Er (0.0000, 0.0000, 0.5000)  4 Pd 2.79
Sb (0.0000, 0.5000, 0.8684)  5 Pd 2.61-2.72
Sb (0.5000, 0.0000, 0.1316)  5 Pd 2.61-2.72
Sb (0.5000, 0.5000, 0.5000)  4 Pd 2.79
Pd (0.0000, 0.0000, 0.0000)  4 Sb 2.72
Pd (0.0000, 0.5000, 0.6430)  3 Sb 2.61-2.79, 2 Er 2.79
Pd (0.5000, 0.0000, 0.3570)  3 Sb 2.61-2.79, 2 Er 2.79
Pd (0.5000, 0.5000, 0.0000)  4 Sb 2.72

Computed properties:
calculated total energy	-5.6473	eV/atom
space group	P-4m2 (115)
formation energy without anion corrections	-921	meV/atom
DOS at the Fermi energy	3.31	states/eV/cell